Computed, not measured: a relaxed structure of Sc2MoF at the PBE+U level of DFT.

## Properties
calculated total energy	-6.17	eV/atom
ρ	4.3	g cm⁻³
energy above the lowest structure with this stoichiometry	0	meV/atom
total magnetization	0.00	μB/cell

Cell: 3.3785 3.3785 24.1758 Å, 90.00 90.00 120.00°
Space group R-3m (No. 166, hexagonal axes)
Inequivalent atoms, fractional coordinates:
Sc1 0.0000 0.0000 0.0854 (multiplicity 6)
Mo1 0.0000 0.0000 0.5000 (multiplicity 3)
F1 0.0000 0.0000 0.0000 (multiplicity 3)